# 1
# La2NdNpAs4

A geometry-optimized La2NdNpAs4 structure (PBE, Alexandria).

Properties
SG: No. 10
Volume: 27.7 Å³ per atom

The structure in POSCAR format:
```
La2NdNpAs4
1.0
7.413 0.000 0.000
0.000 4.275 0.000
-2.453 0.000 7.005
La Nd Np As
2 1 1 4
direct
0.000 0.000 0.000
0.500 0.500 0.000
0.000 0.500 0.500
0.500 0.000 0.500
0.254 0.000 0.740
0.260 0.500 0.264
0.740 0.500 0.736
0.746 0.000 0.260
```

***

# 2
# LaNdAsP

A geometry-optimized LaNdAsP structure (PBE, Alexandria).

Properties
SG: No. 123
Volume: 27.6 Å³ per atom

The structure in POSCAR format:
```
LaNdAsP
1.0
4.272 0.000 0.000
0.000 4.272 0.000
0.000 0.000 6.051
La Nd As P
1 1 1 1
direct
0.000 0.000 0.000
0.500 0.500 0.500
0.000 0.000 0.500
0.500 0.500 0.000
```

***

# 3
# La3Nd2PaAs6

A geometry-optimized La3Nd2PaAs6 structure (PBE, Alexandria).

Properties
SG: No. 12
Volume: 27.8 Å³ per atom

The structure in POSCAR format:
```
La3Nd2PaAs6
1.0
3.707 -6.418 0.000
3.707 6.418 0.000
-2.468 0.000 7.016
La Nd Pa As
3 2 1 6
direct
0.000 0.000 0.000
0.331 0.669 0.000
0.669 0.331 0.000
0.166 0.834 0.500
0.834 0.166 0.500
0.500 0.500 0.500
0.100 0.421 0.262
0.259 0.259 0.739
0.421 0.100 0.262
0.579 0.900 0.738
0.741 0.741 0.261
0.900 0.579 0.738
```

***

# 4
# LaNd2PaAs4

A geometry-optimized LaNd2PaAs4 structure (PBE, Alexandria).

Properties
SG: No. 119
Volume: 27.0 Å³ per atom

The structure in POSCAR format:
```
LaNd2PaAs4
1.0
-2.997 2.997 6.007
2.997 -2.997 6.007
2.997 2.997 -6.007
La Nd Pa As
1 2 1 4
direct
0.000 0.000 0.000
0.500 0.500 0.000
0.750 0.250 0.500
0.250 0.750 0.500
0.011 0.511 0.500
0.252 0.252 0.000
0.489 0.989 0.500
0.748 0.748 0.000
```

***

# 5
# LaNdAs2Pd2

A geometry-optimized LaNdAs2Pd2 structure (PBE, Alexandria).

Properties
SG: No. 164
Volume: 22.2 Å³ per atom

The structure in POSCAR format:
```
LaNdAs2Pd2
1.0
4.406 0.000 0.000
-2.203 3.816 0.000
0.000 0.000 7.922
La Nd As Pd
1 1 2 2
direct
0.000 0.000 0.000
0.000 0.000 0.500
0.333 0.667 0.252
0.667 0.333 0.748
0.333 0.667 0.743
0.667 0.333 0.257
```

***

# 6
# La2Pm3NdAs6

A geometry-optimized La2Pm3NdAs6 structure (PBE, Alexandria).

Properties
SG: No. 12
Volume: 27.9 Å³ per atom

The structure in POSCAR format:
```
La2Pm3NdAs6
1.0
9.349 -2.146 0.000
9.349 2.146 0.000
-1.971 0.000 8.352
La Pm Nd As
2 3 1 6
direct
0.166 0.166 0.332
0.834 0.834 0.668
0.167 0.167 0.834
0.500 0.500 0.500
0.833 0.833 0.166
0.500 0.500 0.000
0.002 0.002 0.750
0.333 0.333 0.921
0.335 0.335 0.413
0.665 0.665 0.587
0.667 0.667 0.079
0.998 0.998 0.250
```

***

# 7
# La2PmNd3As6

A geometry-optimized La2PmNd3As6 structure (PBE, Alexandria).

Properties
SG: No. 12
Volume: 28.2 Å³ per atom

The structure in POSCAR format:
```
La2PmNd3As6
1.0
9.374 -2.152 0.000
9.374 2.152 0.000
-1.977 0.000 8.375
La Pm Nd As
2 1 3 6
direct
0.166 0.166 0.332
0.834 0.834 0.668
0.500 0.500 0.000
0.167 0.167 0.834
0.500 0.500 0.500
0.833 0.833 0.166
0.001 0.001 0.752
0.334 0.334 0.414
0.334 0.334 0.920
0.666 0.666 0.080
0.666 0.666 0.586
0.999 0.999 0.248
```

***

# 8
# LaPmNd2As4

A geometry-optimized LaPmNd2As4 structure (PBE, Alexandria).

Properties
SG: No. 74
Volume: 27.9 Å³ per atom

The structure in POSCAR format:
```
LaPmNd2As4
1.0
-4.291 4.291 6.067
4.291 -4.291 6.067
4.291 4.291 -6.067
La Pm Nd As
2 2 4 8
direct
0.500 0.000 0.000
0.500 0.500 0.500
0.000 0.000 0.000
0.500 0.000 0.500
0.000 0.000 0.500
0.000 0.500 0.000
0.000 0.500 0.500
0.500 0.500 0.000
0.247 0.249 0.997
0.248 0.751 0.497
0.249 0.247 0.499
0.249 0.750 0.001
0.751 0.250 0.999
0.751 0.753 0.501
0.752 0.249 0.503
0.753 0.751 0.003
```

***

| no. | calculated formation energy (eV/atom) |
| --- | --- |
| 1 | -1.32 |
| 2 | -1.54 |
| 3 | -1.48 |
| 4 | -1.41 |
| 5 | -1.22 |
| 6 | -1.54 |
| 7 | -1.53 |
| 8 | -1.53 |